1.
KNaMg2Rh (GGA-PBE, optimized geometry); density of states at the Fermi level = 1.903 states/eV/f.u.; raw total energy = -2.581 eV/atom; E_form = 0.01 eV/atom; M_tot = 0.000 μB per atom
1.0
5.082 0.000 0.000
0.000 5.082 0.000
0.000 0.000 5.647
K Na Mg Rh
1 1 2 1
direct
0.000 0.000 0.000
0.500 0.500 0.000
0.000 0.500 0.500
0.500 0.000 0.500
0.500 0.500 0.500


2.
K2NaMgSb (GGA-PBE, optimized geometry); density of states at the Fermi level = 2.719 states/eV/f.u.; raw total energy = -1.490 eV/atom; uncorrected formation energy = 356 meV/atom; M_tot = 0.000 μB per atom
1.0
6.318 0.000 0.000
0.000 6.318 0.000
0.000 0.000 5.715
K Na Mg Sb
2 1 1 1
direct
0.000 0.500 0.000
0.500 0.000 0.000
0.000 0.000 0.500
0.000 0.000 0.000
0.500 0.500 0.500


3.
K2NaMgSb2 (GGA-PBE, optimized geometry); density of states at the Fermi level = 5.923 states/eV/f.u.; raw total energy = -2.673 eV/atom; uncorrected formation energy = -447 meV/atom; M_tot = 0.082 μB per atom
1.0
-3.573 8.376 3.487
3.573 -8.376 3.487
3.573 8.376 -3.487
K Na Mg Sb
4 2 2 4
direct
0.175 0.236 0.411
0.325 0.736 0.061
0.675 0.264 0.939
0.825 0.764 0.589
0.250 0.250 0.000
0.750 0.750 0.000
0.250 0.750 0.500
0.750 0.250 0.500
0.105 0.722 0.826
0.395 0.222 0.617
0.605 0.778 0.383
0.895 0.278 0.174


4.
KNaMgSn (GGA-PBE, optimized geometry); density of states at the Fermi level = 0.460 states/eV/f.u.; raw total energy = -2.125 eV/atom; E_form = -0.12 eV/atom; M_tot = 0.000 μB per atom
1.0
0.000 3.824 3.824
3.824 0.000 3.824
3.824 3.824 0.000
K Na Mg Sn
1 1 1 1
direct
0.000 0.000 0.000
0.750 0.750 0.750
0.250 0.250 0.250
0.500 0.500 0.500


5.
KNa2MgTa (GGA-PBE, optimized geometry); density of states at the Fermi level = 2.148 states/eV/f.u.; raw total energy = -2.329 eV/atom; E_form = 1.11 eV/atom; M_tot = 0.788 μB per atom
1.0
5.876 0.000 0.000
0.000 5.876 0.000
0.000 0.000 5.576
K Na Mg Ta
1 2 1 1
direct
0.000 0.000 0.000
0.000 0.500 0.500
0.500 0.000 0.500
0.500 0.500 0.500
0.500 0.500 0.000


6.
K2Na2MgTl5 (GGA-PBE, optimized geometry); density of states at the Fermi level = 4.143 states/eV/f.u.; raw total energy = -1.881 eV/atom; E_form = -0.05 eV/atom; M_tot = 0.000 μB per atom
1.0
11.924 0.000 0.000
0.000 11.924 0.000
0.000 0.000 4.506
K Na Mg Tl
4 4 2 10
direct
0.178 0.322 0.000
0.322 0.822 0.000
0.678 0.178 0.000
0.822 0.678 0.000
0.130 0.630 0.000
0.370 0.130 0.000
0.630 0.870 0.000
0.870 0.370 0.000
0.000 0.000 0.000
0.500 0.500 0.000
0.000 0.500 0.500
0.039 0.814 0.500
0.186 0.039 0.500
0.314 0.539 0.500
0.461 0.314 0.500
0.500 0.000 0.500
0.539 0.686 0.500
0.686 0.461 0.500
0.814 0.961 0.500
0.961 0.186 0.500


7.
K6Na14MgTl18 (GGA-PBE, optimized geometry); density of states at the Fermi level = 8.113 states/eV/f.u.; raw total energy = -1.915 eV/atom; E_form = -0.14 eV/atom; M_tot = 0.000 μB per atom
1.0
10.745 0.000 0.000
0.000 10.745 0.000
0.000 0.000 10.745
K Na Mg Tl
6 14 1 18
direct
0.000 0.311 0.500
0.000 0.689 0.500
0.311 0.500 0.000
0.500 0.000 0.311
0.500 0.000 0.689
0.689 0.500 0.000
0.000 0.500 0.169
0.000 0.500 0.831
0.169 0.000 0.500
0.219 0.219 0.219
0.219 0.219 0.781
0.219 0.781 0.219
0.219 0.781 0.781
0.500 0.169 0.000
0.500 0.831 0.000
0.781 0.219 0.219
0.781 0.219 0.781
0.781 0.781 0.219
0.781 0.781 0.781
0.831 0.000 0.500
0.500 0.500 0.500
0.000 0.000 0.223
0.000 0.000 0.777
0.000 0.223 0.000
0.000 0.777 0.000
0.223 0.000 0.000
0.245 0.500 0.345
0.245 0.500 0.655
0.345 0.245 0.500
0.345 0.755 0.500
0.500 0.345 0.245
0.500 0.345 0.755
0.500 0.655 0.245
0.500 0.655 0.755
0.655 0.245 0.500
0.655 0.755 0.500
0.755 0.500 0.345
0.755 0.500 0.655
0.777 0.000 0.000


8.
K2NaMgTl6 (GGA-PBE, optimized geometry); density of states at the Fermi level = 7.073 states/eV/f.u.; raw total energy = -1.824 eV/atom; E_form = 0.11 eV/atom; M_tot = 0.000 μB per atom
1.0
0.000 5.738 5.738
5.738 0.000 5.738
5.738 5.738 0.000
K Na Mg Tl
2 1 1 6
direct
0.250 0.250 0.250
0.750 0.750 0.750
0.000 0.000 0.000
0.500 0.500 0.500
0.253 0.253 0.747
0.253 0.747 0.253
0.253 0.747 0.747
0.747 0.253 0.253
0.747 0.253 0.747
0.747 0.747 0.253


9.
KNaMgTl (GGA-PBE, optimized geometry); density of states at the Fermi level = 2.208 states/eV/f.u.; raw total energy = -1.567 eV/atom; E_form = 0.03 eV/atom; M_tot = 0.000 μB per atom
1.0
0.000 3.966 3.966
3.966 0.000 3.966
3.966 3.966 0.000
K Na Mg Tl
1 1 1 1
direct
0.000 0.000 0.000
0.250 0.250 0.250
0.750 0.750 0.750
0.500 0.500 0.500


10.
KNaMg2Zr (GGA-PBE, optimized geometry); density of states at the Fermi level = 6.652 states/eV/f.u.; raw total energy = -2.007 eV/atom; E_form = 0.82 eV/atom; M_tot = 0.672 μB per atom
1.0
5.856 0.000 0.000
0.000 5.856 0.000
0.000 0.000 6.214
K Na Mg Zr
1 1 2 1
direct
0.000 0.000 0.000
0.500 0.500 0.000
0.000 0.500 0.500
0.500 0.000 0.500
0.500 0.500 0.500


11.
KMgNb (GGA-PBE, optimized geometry); density of states at the Fermi level = 1.965 states/eV/f.u.; raw total energy = -3.580 eV/atom; E_form = 0.67 eV/atom; M_tot = 0.000 μB per atom
1.0
4.788 0.000 0.000
0.547 6.008 0.000
0.819 0.936 6.939
K Mg Nb
2 2 2
direct
0.225 0.235 0.429
0.775 0.765 0.571
0.272 0.399 0.912
0.728 0.601 0.088
0.209 0.912 0.995
0.791 0.088 0.005


density of states at the Fermi level of number 8 (K2NaMgTl6)?
7.073 states/eV/f.u.